Compound: GdMnGe2O7
Source: the Alexandria database
Functional: PBE with a Hubbard U
Structure: optimized geometry

Output
The calculation puts the calculated total energy at -8.04 eV per atom. As for the volume: 11.90 A^3/atom. The space-group type is Cmme, No. 67.

Lattice parameters (Å, degrees): 7.899 7.899 4.812 90.00 90.00 119.33
Sites, in units of the cell vectors:
Gd 0.250 0.250 0.000
Gd 0.750 0.750 0.000
Mn 0.000 0.500 0.000
Mn 0.500 0.000 0.000
Ge 0.136 0.864 0.520
Ge 0.364 0.636 0.520
Ge 0.636 0.364 0.480
Ge 0.864 0.136 0.480
O 0.028 0.317 0.242
O 0.046 0.954 0.260
O 0.183 0.472 0.758
O 0.250 0.750 0.315
O 0.317 0.028 0.758
O 0.454 0.546 0.260
O 0.472 0.183 0.242
O 0.528 0.817 0.758
O 0.546 0.454 0.740
O 0.683 0.972 0.242
O 0.750 0.250 0.685
O 0.817 0.528 0.242
O 0.954 0.046 0.740
O 0.972 0.683 0.758